# Dy4CuAu

Crystalline Dy4CuAu at its relaxed geometry (PBE-GGA, the Alexandria database).

Properties
Density of states at the Fermi level = 1.432 states/eV per atom
Crystal system = monoclinic
Energy relative to the elements = -4.645 kcal/mol of atoms
Symmetry = P2_1/c

Lattice parameters (Å, degrees): 6.912 7.128 6.893 90.00 93.46 90.00
Atoms (fractional coordinates):
Dy 0.155 0.160 0.171
Dy 0.155 0.340 0.671
Dy 0.339 0.656 0.131
Dy 0.339 0.844 0.631
Dy 0.661 0.156 0.369
Dy 0.661 0.344 0.869
Dy 0.845 0.660 0.329
Dy 0.845 0.840 0.829
Cu 0.000 0.000 0.500
Cu 0.000 0.500 0.000
Au 0.500 0.000 0.000
Au 0.500 0.500 0.500

# Pr2SmPb

Crystalline Pr2SmPb at its relaxed geometry (PBE-GGA, the Alexandria database).

Properties
Density of states at the Fermi level = 0.932 states/eV per atom
Crystal system = trigonal
Energy relative to the elements = 1.009 kcal/mol of atoms
Symmetry = R-3m

Lattice parameters (Å, degrees): 12.627 12.627 12.627 16.58 16.58 16.58
Atoms (fractional coordinates):
Pr 0.088 0.088 0.088
Pr 0.912 0.912 0.912
Sm 0.500 0.500 0.500
Pb 0.000 0.000 0.000

# Ca7Si

Crystalline Ca7Si at its relaxed geometry (PBE-GGA, the Alexandria database).

Properties
Density of states at the Fermi level = 0.959 states/eV per atom
Formation energy (no corrections) = 0.549 eV/f.u.
Crystal system = cubic
Symmetry = Fm-3m

Lattice parameters (Å, degrees): 7.390 7.390 7.390 60.00 60.00 60.00
Atoms (fractional coordinates):
Ca 0.000 0.000 0.000
Ca 0.000 0.000 0.500
Ca 0.000 0.500 0.000
Ca 0.000 0.500 0.500
Ca 0.500 0.000 0.000
Ca 0.500 0.000 0.500
Ca 0.500 0.500 0.000
Si 0.500 0.500 0.500

# Tb12YIn3

Crystalline Tb12YIn3 at its relaxed geometry (PBE-GGA, the Alexandria database).

Properties
Density of states at the Fermi level = 1.295 states/eV per atom
Crystal system = tetragonal
Energy relative to the elements = -4.448 kcal/mol of atoms
Symmetry = P4/mmm

Lattice parameters (Å, degrees): 4.878 4.878 19.883 90.00 90.00 90.00
Atoms (fractional coordinates):
Tb 0.000 0.000 0.000
Tb 0.000 0.000 0.245
Tb 0.000 0.000 0.500
Tb 0.000 0.000 0.755
Tb 0.000 0.500 0.123
Tb 0.000 0.500 0.369
Tb 0.000 0.500 0.631
Tb 0.000 0.500 0.877
Tb 0.500 0.000 0.123
Tb 0.500 0.000 0.369
Tb 0.500 0.000 0.631
Tb 0.500 0.000 0.877
Y 0.500 0.500 0.500
In 0.500 0.500 0.000
In 0.500 0.500 0.244
In 0.500 0.500 0.756

What is the formula in the first record? Dy4CuAu

Look up the density of states at the Fermi level of the first one. 1.432 states/eV per atom

density of states at the Fermi level of number 1 (Dy4CuAu)? 1.432 states/eV per atom